Model P:
## TaCoCuSi (PBE)

Data for an optimized crystal structure of TaCoCuSi.

Calculated values
**V**: 52.73 Å³/f.u.

Lattice parameters (Å, degrees): 5.9524 5.9524 5.9524 90.00 90.00 90.00
With the nearest neighbours (Å) after each atom.
Space group F-43m (No. 216)
Unique sites:
1 Ta 0.0000 0.0000 0.0000 (multiplicity 4)  4 Cu 2.58, 4 Si 2.58
2 Co 0.0000 0.0000 0.5000 (multiplicity 4)  4 Cu 2.58, 4 Si 2.58
3 Cu 0.2500 0.2500 0.7500 (multiplicity 4)  4 Ta 2.58, 4 Co 2.58
4 Si 0.2500 0.2500 0.2500 (multiplicity 4)  4 Ta 2.58, 4 Co 2.58


Model Q:
## TaCoCuSi (PBE)

Data for an optimized crystal structure of TaCoCuSi.

Calculated values
**V**: 52.65 Å³/f.u.

Lattice parameters (Å, degrees): 5.9494 5.9494 5.9494 90.00 90.00 90.00
With the nearest neighbours (Å) after each atom.
Space group F-43m (No. 216)
Unique sites:
1 Ta 0.0000 0.0000 0.0000 (multiplicity 4)  4 Co 2.58, 4 Si 2.58
2 Co 0.2500 0.2500 0.7500 (multiplicity 4)  4 Ta 2.58, 4 Cu 2.58
3 Cu 0.0000 0.0000 0.5000 (multiplicity 4)  4 Co 2.58, 4 Si 2.58
4 Si 0.2500 0.2500 0.2500 (multiplicity 4)  4 Ta 2.58, 4 Cu 2.58


Model R:
## TaCoCuSi (PBE)

Data for an optimized crystal structure of TaCoCuSi.

Calculated values
**V**: 52.05 Å³/f.u.

Lattice parameters (Å, degrees): 5.9270 5.9270 5.9270 90.00 90.00 90.00
With the nearest neighbours (Å) after each atom.
Space group F-43m (No. 216)
Unique sites:
1 Ta 0.0000 0.0000 0.0000 (multiplicity 4)  4 Co 2.57, 4 Cu 2.57
2 Co 0.2500 0.2500 0.7500 (multiplicity 4)  4 Ta 2.57, 4 Si 2.57
3 Cu 0.2500 0.2500 0.2500 (multiplicity 4)  4 Ta 2.57, 4 Si 2.57
4 Si 0.0000 0.0000 0.5000 (multiplicity 4)  4 Co 2.57, 4 Cu 2.57


Relative energy table, unit meV/atom: model P 99; model Q 46; model R 0


Model P:
## CoCuSiW (PBE)

Data for an optimized crystal structure of CoCuSiW.

Calculated values
**V**: 50.63 Å³/f.u.

Lattice parameters (Å, degrees): 5.8726 5.8726 5.8726 90.00 90.00 90.00
With the nearest neighbours (Å) after each atom.
Space group F-43m (No. 216)
Unique sites:
1 Co 0.0000 0.0000 0.0000 (multiplicity 4)  4 W 2.54, 4 Cu 2.54
2 Cu 0.2500 0.2500 0.7500 (multiplicity 4)  4 Co 2.54, 4 Si 2.54
3 Si 0.0000 0.0000 0.5000 (multiplicity 4)  4 W 2.54, 4 Cu 2.54
4 W 0.2500 0.2500 0.2500 (multiplicity 4)  4 Co 2.54, 4 Si 2.54


Model Q:
## CoCuSiW (PBE)

Data for an optimized crystal structure of CoCuSiW.

Calculated values
**V**: 50.34 Å³/f.u.

Lattice parameters (Å, degrees): 5.8611 5.8611 5.8611 90.00 90.00 90.00
With the nearest neighbours (Å) after each atom.
Space group F-43m (No. 216)
Unique sites:
1 Co 0.0000 0.0000 0.0000 (multiplicity 4)  4 Cu 2.54, 4 Si 2.54
2 Cu 0.2500 0.2500 0.2500 (multiplicity 4)  4 W 2.54, 4 Co 2.54
3 Si 0.2500 0.2500 0.7500 (multiplicity 4)  4 W 2.54, 4 Co 2.54
4 W 0.0000 0.0000 0.5000 (multiplicity 4)  4 Si 2.54, 4 Cu 2.54


Model R:
## CoCuSiW (PBE)

Data for an optimized crystal structure of CoCuSiW.

Calculated values
**V**: 50.19 Å³/f.u.

Lattice parameters (Å, degrees): 5.8553 5.8553 5.8553 90.00 90.00 90.00
With the nearest neighbours (Å) after each atom.
Space group F-43m (No. 216)
Unique sites:
1 Co 0.0000 0.0000 0.0000 (multiplicity 4)  4 W 2.54, 4 Si 2.54
2 Cu 0.0000 0.0000 0.5000 (multiplicity 4)  4 W 2.54, 4 Si 2.54
3 Si 0.2500 0.2500 0.7500 (multiplicity 4)  4 Co 2.54, 4 Cu 2.54
4 W 0.2500 0.2500 0.2500 (multiplicity 4)  4 Co 2.54, 4 Cu 2.54


Relative energy table, unit meV/atom: model P 0; model Q 29; model R 114